An optimized crystal structure of BaMnC2F, computed with PBE with a Hubbard U.

Summary:
V = 20.541 Å³ per atom
SG = P4/mmm, No. 123
E = -4.243 eV per atom
spin magnetization = 0.74 μB/atom

a = 4.7089 Å, b = 4.7089 Å, c = 4.6318 Å
α = 90.00°, β = 90.00°, γ = 90.00°
Element x y z (fractional)
Ba 0.0000 0.0000 0.0000
Mn 0.5000 0.5000 0.0000
C 0.0000 0.5000 0.5000
C 0.5000 0.0000 0.5000
F 0.0000 0.0000 0.5000